The following is a GGA-PBE calculation of a relaxed structure of Sr2MgIn, from Alexandria.

Cell lengths 5.1779, 5.1779, 10.2278 Å; angles 90.00, 90.00, 90.00 degrees
Space group I-4m2 (No. 119)
One atom of each set of equivalent atoms:
1 Sr 0.0000 0.0000 0.0000 x2
2 Sr 0.0000 0.5000 0.2500 x2
3 Mg 0.0000 0.0000 0.5000 x2
4 In 0.0000 0.5000 0.7500 x2

Summary:
* formation enthalpy at 0 K: -0.117 eV/atom
* magnetic moment: 0.00 μB per atom
* energy: -2.041 eV/atom